(1)
Compound: Hf2V3Tc
Source: the Alexandria database
Functional: PBE
Structure: relaxed

Properties
The value obtained for the uncorrected energy is -9.8443 eV per atom. The energy of formation from the pure elements comes out at -0.2395 eV per atom. The value obtained for the magnetic moment is 0.00 μB/f.u.

Cell: 5.2525 5.2525 12.3970 Å, 90.00 90.00 120.00°
Space group R-3m (No. 166, hexagonal axes)
Inequivalent atoms, fractional coordinates:
Hf  0.0000  0.0000  0.1253
V  0.0000  0.5000  0.0000
Tc  0.0000  0.0000  0.5000



(2)
Compound: SmEr4Tm3
Source: the Alexandria database
Functional: PBE
Structure: relaxed

Properties
The value obtained for the uncorrected energy is -4.5475 eV per atom. The energy of formation from the pure elements comes out at 0.0006 eV per atom. Its polymorph energy (0 for the lowest one) is 0 meV per atom. The value obtained for the magnetic moment is 0.00 μB/f.u.

Cell: 11.1229 7.1938 6.2121 Å, 90.00 90.00 90.00°
Space group Pmn2_1 (No. 31)
Inequivalent atoms, fractional coordinates:
Sm  0.0000  0.1255  0.0000
Er  0.0000  0.3753  0.5009
Er  0.0000  0.6246  0.9991
Er  0.2483  0.6244  0.3336
Tm  0.0000  0.8746  0.4998
Tm  0.2501  0.1255  0.3335



(3)
Compound: TbFeSi3Ir
Source: the Alexandria database
Functional: PBE
Structure: relaxed

Properties
For the energy relative to the elements, uncorrected, the calculation gives -0.45 eV per atom. The value obtained for the uncorrected energy is -6.8235 eV per atom. The value obtained for the magnetic moment is 0.00 μB/f.u.

Cell: 6.1110 12.4037 5.6533 Å, 90.00 90.00 90.00°
Space group Cmcm (No. 63)
Inequivalent atoms, fractional coordinates:
Tb  0.0000  0.2033  0.2500
Fe  0.0000  0.0307  0.7500
Si  0.0000  0.2006  0.7500
Si  0.2123  0.5000  0.0000
Ir  0.0000  0.3817  0.7500



(4)
Compound: Ac2Mg3Pt4
Source: the Alexandria database
Functional: PBE
Structure: relaxed

Properties
The value obtained for the uncorrected energy is -5.0211 eV per atom. The energy of formation from the pure elements comes out at -0.8918 eV per atom. The value obtained for the magnetic moment is 0.00 μB/f.u.

Cell: 5.9465 16.5598 7.9222 Å, 90.00 90.00 90.00°
Space group Cmce (No. 64)
Inequivalent atoms, fractional coordinates:
Ac  0.0000  0.1098  0.0851
Mg  0.0000  0.0000  0.5000
Mg  0.2500  0.2208  0.7500
Pt  0.0000  0.1795  0.4637
Pt  0.2500  0.0579  0.7500